The following is a DFT calculation (PBE+U) of LiCoSeO after structural relaxation.

The value obtained for the polymorph energy (0 for the lowest one) is 0.13 eV/f.u. As for the calculated volume: 16.57 Å³/atom. The uncorrected energy comes out at -4.6967 eV/atom. Its space group is P2_1 (4).

Unit cell a=5.2174 b=5.5446 c=9.3916 alpha=90.00 beta=102.63 gamma=90.00
Fractional positions:
Li  0.1207  0.0000  0.4779
Li  0.2684  0.7060  0.2135
Li  0.7316  0.2060  0.7865
Li  0.8793  0.5000  0.5221
Co  0.0015  0.2013  0.0698
Co  0.4743  0.2164  0.9932
Co  0.5257  0.7164  0.0068
Co  0.9985  0.7013  0.9302
Se  0.1982  0.2367  0.7105
Se  0.2032  0.7371  0.7117
Se  0.7968  0.2371  0.2883
Se  0.8018  0.7367  0.2895
O  0.2555  0.4720  0.0587
O  0.2690  0.9542  0.0574
O  0.7310  0.4542  0.9426
O  0.7445  0.9720  0.9413